[1]
The following is a DFT calculation (PBE-GGA) of crystalline Co2MoPt at its relaxed geometry.

DFT total energy in eV per atom: -7.846
Symmetry: I4/mmm, No. 139
Energy above the lowest structure with this stoichiometry in eV per atom: 0.030
Magnetization in μB per formula unit: 1.18
ρ in g/cm³: 13.01
ΔE_f in eV per atom: -0.0751

Cell: 4.504 4.504 4.504 Å, 130.11 130.11 73.24°
Fractional coordinates of all 4 atoms:
Pt 0.250 0.750 0.500
Co 0.500 0.500 0.000
Co 0.000 0.000 0.000
Mo 0.750 0.250 0.500

---

[2]
The following is a DFT calculation (PBE-GGA) of crystalline Co2MoPt at its relaxed geometry.

DFT total energy in eV per atom: -7.347
Symmetry: I-42d, No. 122
Energy above the lowest structure with this stoichiometry in eV per atom: 0.529
Magnetization in μB per formula unit: 0.00
ρ in g/cm³: 11.91
ΔE_f in eV per atom: 0.4238

Cell: 6.550 6.550 5.340 Å, 52.18 52.18 90.00°
Fractional coordinates of all 8 atoms:
Co 0.875 0.850 0.750
Co 0.600 0.125 0.250
Pt 0.750 0.250 0.500
Mo 0.250 0.750 0.500
Co 0.150 0.625 0.250
Co 0.375 0.400 0.750
Mo 0.500 0.500 0.000
Pt 0.000 0.000 0.000

---

[3]
The following is a DFT calculation (PBE-GGA) of crystalline Co2MoPt at its relaxed geometry.

DFT total energy in eV per atom: -7.876
Symmetry: I-4m2, No. 119
Energy above the lowest structure with this stoichiometry in eV per atom: 0.000
Magnetization in μB per formula unit: 1.72
ρ in g/cm³: 12.96
ΔE_f in eV per atom: -0.1051

Cell: 4.632 4.632 4.631 Å, 132.87 132.86 68.88°
Fractional coordinates of all 4 atoms:
Mo 0.500 0.500 0.000
Pt 0.250 0.750 0.500
Co 0.750 0.250 0.500
Co 0.000 0.000 0.000

---

[4]
The following is a DFT calculation (PBE-GGA) of crystalline Co2MoPt8 at its relaxed geometry.

DFT total energy in eV per atom: -6.760
Symmetry: Immm, No. 71
Magnetization in μB per formula unit: 4.58
ρ in g/cm³: 17.37
ΔE_f in eV per atom: -0.0897

Cell: 3.905 7.317 7.241 Å, 120.35 105.64 90.00°
Fractional coordinates of all 11 atoms:
Pt 0.338 0.571 0.677
Pt 0.338 0.106 0.677
Pt 0.662 0.429 0.323
Mo 0.500 0.000 0.000
Pt 0.000 0.717 0.000
Pt 0.000 0.283 0.000
Pt 0.158 0.158 0.317
Co 0.177 0.677 0.353
Pt 0.842 0.842 0.683
Co 0.823 0.323 0.647
Pt 0.662 0.894 0.323

---

[5]
The following is a DFT calculation (PBE-GGA) of crystalline Co2MoPt at its relaxed geometry.

DFT total energy in eV per atom: -7.766
Symmetry: C2/m, No. 12
Energy above the lowest structure with this stoichiometry in eV per atom: 0.110
Magnetization in μB per formula unit: 2.45
ρ in g/cm³: 12.62
ΔE_f in eV per atom: 0.0048

Cell: 4.512 4.512 4.719 Å, 80.28 80.28 34.68°
Fractional coordinates of all 4 atoms:
Co 0.001 0.001 0.981
Co 0.499 0.499 0.519
Pt 0.250 0.250 0.250
Mo 0.750 0.750 0.750

---

[6]
The following is a DFT calculation (PBE-GGA) of crystalline Co2MoPt at its relaxed geometry.

DFT total energy in eV per atom: -7.831
Symmetry: P4mm, No. 99
Energy above the lowest structure with this stoichiometry in eV per atom: 0.046
Magnetization in μB per formula unit: 3.33
ρ in g/cm³: 12.75
ΔE_f in eV per atom: -0.0596

Cell: 2.694 2.694 7.340 Å, 90.00 90.00 90.00°
Fractional coordinates of all 4 atoms:
Pt 0.500 0.500 0.763
Mo 0.000 0.000 0.482
Co 0.500 0.500 0.231
Co 0.000 0.000 0.024

---

[7]
The following is a DFT calculation (PBE-GGA) of crystalline Co3MoPt12 at its relaxed geometry.

DFT total energy in eV per atom: -6.654
Symmetry: P4/mmm, No. 123
Magnetization in μB per formula unit: 8.86
ρ in g/cm³: 18.18
ΔE_f in eV per atom: -0.1137

Cell: 3.912 3.912 15.597 Å, 90.00 90.00 90.00°
Fractional coordinates of all 16 atoms:
Pt 0.500 0.000 0.624
Pt 0.500 0.000 0.126
Co 0.000 0.000 0.500
Mo 0.000 0.000 0.000
Pt 0.500 0.500 0.252
Pt 0.500 0.000 0.874
Pt 0.000 0.500 0.126
Pt 0.000 0.500 0.874
Pt 0.000 0.500 0.624
Pt 0.000 0.500 0.376
Pt 0.500 0.500 0.748
Pt 0.500 0.500 0.500
Co 0.000 0.000 0.256
Co 0.000 0.000 0.744
Pt 0.500 0.500 0.000
Pt 0.500 0.000 0.376

---

[8]
The following is a DFT calculation (PBE-GGA) of crystalline Co5MoPt6 at its relaxed geometry.

DFT total energy in eV per atom: -7.013
Symmetry: Immm, No. 71
Magnetization in μB per formula unit: 9.20
ρ in g/cm³: 15.64
ΔE_f in eV per atom: -0.1295

Cell: 3.815 7.569 7.136 Å, 122.03 105.51 90.00°
Fractional coordinates of all 12 atoms:
Pt 0.500 0.253 0.000
Co 0.000 0.500 0.000
Co 0.337 0.837 0.674
Co 0.335 0.335 0.669
Pt 0.832 0.580 0.664
Co 0.663 0.163 0.326
Pt 0.832 0.084 0.664
Pt 0.168 0.916 0.336
Co 0.665 0.665 0.331
Pt 0.168 0.420 0.336
Mo 0.000 0.000 0.000
Pt 0.500 0.747 0.000

---

[9]
The following is a DFT calculation (PBE-GGA) of crystalline Co2MoPt at its relaxed geometry.

DFT total energy in eV per atom: -7.593
Symmetry: F-43m, No. 216
Energy above the lowest structure with this stoichiometry in eV per atom: 0.283
Magnetization in μB per formula unit: 3.03
ρ in g/cm³: 12.40
ΔE_f in eV per atom: 0.1777

Cell: 4.262 4.262 4.262 Å, 60.00 60.00 60.00°
Fractional coordinates of all 4 atoms:
Mo 0.500 0.500 0.500
Pt 0.750 0.750 0.750
Co 0.000 0.000 0.000
Co 0.250 0.250 0.250

---

[10]
The following is a DFT calculation (PBE-GGA) of crystalline Co2MoPt at its relaxed geometry.

DFT total energy in eV per atom: -7.832
Symmetry: P4/mmm, No. 123
Energy above the lowest structure with this stoichiometry in eV per atom: 0.044
Magnetization in μB per formula unit: 0.47
ρ in g/cm³: 13.09
ΔE_f in eV per atom: -0.0610

Cell: 3.808 3.808 3.578 Å, 90.00 90.00 90.00°
Fractional coordinates of all 4 atoms:
Co 0.500 0.500 0.000
Co 0.000 0.000 0.000
Mo 0.500 0.000 0.500
Pt 0.000 0.500 0.500

---

[11]
The following is a DFT calculation (PBE-GGA) of crystalline Co2MoPt2 at its relaxed geometry.

DFT total energy in eV per atom: -7.287
Symmetry: P4/mbm, No. 127
Energy above the lowest structure with this stoichiometry in eV per atom: 0.045
Magnetization in μB per formula unit: 3.43
ρ in g/cm³: 14.05
ΔE_f in eV per atom: 0.1380

Cell: 7.281 7.281 2.693 Å, 90.00 90.00 90.00°
Fractional coordinates of all 10 atoms:
Co 0.667 0.833 0.500
Co 0.167 0.667 0.500
Mo 0.000 0.000 0.000
Pt 0.368 0.868 0.000
Pt 0.632 0.132 0.000
Pt 0.868 0.632 0.000
Co 0.833 0.333 0.500
Co 0.333 0.167 0.500
Pt 0.132 0.368 0.000
Mo 0.500 0.500 0.000

---

[12]
The following is a DFT calculation (PBE-GGA) of crystalline Co2MoPt at its relaxed geometry.

DFT total energy in eV per atom: -7.691
Symmetry: R-3m, No. 166
Energy above the lowest structure with this stoichiometry in eV per atom: 0.185
Magnetization in μB per formula unit: 2.78
ρ in g/cm³: 12.56
ΔE_f in eV per atom: 0.0797

Cell: 8.790 8.790 8.790 Å, 17.57 17.57 17.57°
Fractional coordinates of all 4 atoms:
Pt 0.750 0.750 0.750
Mo 0.250 0.250 0.250
Co 0.999 0.999 0.999
Co 0.501 0.501 0.501

---

[13]
The following is a DFT calculation (PBE-GGA) of crystalline Co2MoPt at its relaxed geometry.

DFT total energy in eV per atom: -7.637
Symmetry: P2/m, No. 10
Energy above the lowest structure with this stoichiometry in eV per atom: 0.239
Magnetization in μB per formula unit: 2.78
ρ in g/cm³: 12.44
ΔE_f in eV per atom: 0.1336

Cell: 4.244 2.628 4.927 Å, 83.34 90.00 90.00°
Fractional coordinates of all 4 atoms:
Co 0.000 0.439 0.488
Pt 0.500 0.750 0.750
Co 0.000 0.061 0.012
Mo 0.500 0.250 0.250

---

[14]
The following is a DFT calculation (PBE-GGA) of crystalline CoMoPt6 at its relaxed geometry.

DFT total energy in eV per atom: -6.963
Symmetry: C2/m, No. 12
Magnetization in μB per formula unit: 2.18
ρ in g/cm³: 18.21
ΔE_f in eV per atom: -0.1904

Cell: 3.901 4.839 7.332 Å, 76.60 74.57 66.23°
Fractional coordinates of all 8 atoms:
Pt 0.750 0.623 0.877
Pt 0.250 0.377 0.123
Mo 0.000 0.500 0.500
Co 0.000 0.000 0.000
Pt 0.499 0.252 0.750
Pt 0.501 0.748 0.250
Pt 0.250 0.874 0.626
Pt 0.750 0.126 0.374

---

[15]
The following is a DFT calculation (PBE-GGA) of crystalline CoMoPt4 at its relaxed geometry.

DFT total energy in eV per atom: -6.715
Symmetry: F-43m, No. 216
Magnetization in μB per formula unit: 1.09
ρ in g/cm³: 15.88
ΔE_f in eV per atom: 0.3016

Cell: 5.171 5.171 5.171 Å, 60.00 60.00 60.00°
Fractional coordinates of all 6 atoms:
Pt 0.375 0.375 0.875
Mo 0.000 0.000 0.000
Co 0.750 0.750 0.750
Pt 0.875 0.375 0.375
Pt 0.375 0.875 0.375
Pt 0.375 0.375 0.375

---

[16]
The following is a DFT calculation (PBE-GGA) of crystalline CoMo2Pt8 at its relaxed geometry.

DFT total energy in eV per atom: -7.210
Symmetry: C2/m, No. 12
Magnetization in μB per formula unit: 2.20
ρ in g/cm³: 17.94
ΔE_f in eV per atom: -0.2017

Cell: 3.920 6.233 7.375 Å, 104.56 105.41 90.00°
Fractional coordinates of all 11 atoms:
Pt 0.953 0.267 0.906
Mo 0.774 0.365 0.547
Pt 0.139 0.189 0.277
Pt 0.319 0.085 0.638
Pt 0.861 0.811 0.723
Mo 0.226 0.635 0.453
Pt 0.681 0.915 0.362
Pt 0.047 0.733 0.094
Co 0.500 0.000 0.000
Pt 0.406 0.550 0.812
Pt 0.594 0.450 0.188

---

[17]
The following is a DFT calculation (PBE-GGA) of crystalline Co2MoPt at its relaxed geometry.

DFT total energy in eV per atom: -7.838
Symmetry: Pmm2, No. 25
Energy above the lowest structure with this stoichiometry in eV per atom: 0.038
Magnetization in μB per formula unit: 1.90
ρ in g/cm³: 12.82
ΔE_f in eV per atom: -0.0673

Cell: 2.686 3.721 5.297 Å, 90.00 90.00 90.00°
Fractional coordinates of all 4 atoms:
Co 0.500 0.500 0.237
Mo 0.000 0.000 0.477
Pt 0.500 0.500 0.759
Co 0.000 0.000 0.028

---

[18]
The following is a DFT calculation (PBE-GGA) of crystalline Co2MoPt2 at its relaxed geometry.

DFT total energy in eV per atom: -7.332
Symmetry: P4/mbm, No. 127
Energy above the lowest structure with this stoichiometry in eV per atom: 0.000
Magnetization in μB per formula unit: 2.21
ρ in g/cm³: 14.36
ΔE_f in eV per atom: 0.0929

Cell: 6.360 6.360 3.453 Å, 90.00 90.00 90.00°
Fractional coordinates of all 10 atoms:
Pt 0.833 0.333 0.500
Pt 0.167 0.667 0.500
Co 0.869 0.631 0.000
Co 0.631 0.131 0.000
Co 0.131 0.369 0.000
Co 0.369 0.869 0.000
Pt 0.667 0.833 0.500
Pt 0.333 0.167 0.500
Mo 0.500 0.500 0.000
Mo 0.000 0.000 0.000

---

[19]
The following is a DFT calculation (PBE-GGA) of crystalline Co2MoPt at its relaxed geometry.

DFT total energy in eV per atom: -7.704
Symmetry: R3m, No. 160
Energy above the lowest structure with this stoichiometry in eV per atom: 0.172
Magnetization in μB per formula unit: 2.87
ρ in g/cm³: 12.55
ΔE_f in eV per atom: 0.0671

Cell: 8.784 8.784 8.784 Å, 17.60 17.60 17.60°
Fractional coordinates of all 4 atoms:
Pt 0.747 0.747 0.747
Co 0.254 0.254 0.254
Co 0.994 0.994 0.994
Mo 0.505 0.505 0.505

---

[20]
The following is a DFT calculation (PBE-GGA) of crystalline Co2MoPt at its relaxed geometry.

DFT total energy in eV per atom: -7.796
Symmetry: Pmmm, No. 47
Energy above the lowest structure with this stoichiometry in eV per atom: 0.080
Magnetization in μB per formula unit: 0.97
ρ in g/cm³: 12.97
ΔE_f in eV per atom: -0.0251

Cell: 2.677 3.610 5.420 Å, 90.00 90.00 90.00°
Fractional coordinates of all 4 atoms:
Co 0.000 0.000 0.010
Mo 0.500 0.500 0.250
Pt 0.500 0.500 0.750
Co 0.000 0.000 0.490